--- w ---
! Nd2RuBr PBE optimized geometry; values from VASP
&SYSTEM
  ibrav = 0, nat = 4, ntyp = 3
/
ATOMIC_SPECIES
Nd 144.24 Nd.upf
Ru 101.07 Ru.upf
Br 79.90 Br.upf
ATOMIC_POSITIONS angstrom
Nd 0.000 0.000 0.000
Nd 0.000 0.000 4.827
Ru 0.000 0.000 14.337
Br 0.000 0.000 18.350
CELL_PARAMETERS angstrom
2.036 1.176 7.950
-2.036 1.176 7.950
0.000 -2.351 7.950
! Spin magnetization   0.0 Bohr magnetons per cell
! Symmetry   No. 160
! DOS at the Fermi energy   2.66 states/eV/cell



--- x ---
! Nd2RuBr PBE optimized geometry; values from VASP
&SYSTEM
  ibrav = 0, nat = 4, ntyp = 3
/
ATOMIC_SPECIES
Nd 144.24 Nd.upf
Ru 101.07 Ru.upf
Br 79.90 Br.upf
ATOMIC_POSITIONS angstrom
Nd 0.000 0.000 5.463
Nd 0.000 0.000 18.063
Ru 0.000 0.000 11.763
Br 0.000 0.000 0.000
CELL_PARAMETERS angstrom
2.052 1.185 7.842
-2.052 1.185 7.842
0.000 -2.369 7.842
! Spin magnetization   0.0 Bohr magnetons per cell
! Symmetry   No. 166
! DOS at the Fermi energy   2.74 states/eV/cell



If we sort the structures by their calculated energies, the order from most to least stable is x, w.



--- w ---
! Nd2RuBr PBE optimized geometry; values from VASP
&SYSTEM
  ibrav = 0, nat = 4, ntyp = 3
/
ATOMIC_SPECIES
Nd 144.24 Nd.upf
Ru 101.07 Ru.upf
Br 79.90 Br.upf
ATOMIC_POSITIONS angstrom
Nd 0.000 0.000 1.748
Nd 0.000 0.000 6.573
Ru 1.740 1.740 0.000
Br 1.740 1.740 4.160
CELL_PARAMETERS angstrom
3.480 0.000 0.000
0.000 3.480 0.000
0.000 0.000 8.321
! Spin magnetization   0.0 Bohr magnetons per cell
! Symmetry   No. 123
! DOS at the Fermi energy   2.05 states/eV/cell



--- x ---
! Nd2RuBr PBE optimized geometry; values from VASP
&SYSTEM
  ibrav = 0, nat = 4, ntyp = 3
/
ATOMIC_SPECIES
Nd 144.24 Nd.upf
Ru 101.07 Ru.upf
Br 79.90 Br.upf
ATOMIC_POSITIONS angstrom
Nd 0.000 0.000 2.560
Nd 0.000 0.000 27.667
Ru 0.000 0.000 0.000
Br 0.000 0.000 15.113
CELL_PARAMETERS angstrom
1.729 0.998 10.076
-1.729 0.998 10.076
0.000 -1.996 10.076
! Spin magnetization   0.0 Bohr magnetons per cell
! Symmetry   No. 166
! DOS at the Fermi energy   3.26 states/eV/cell



If we sort the structures by their calculated energies, the order from most to least stable is w, x.